VASP calculation (GGA-PBEsol) on La2AgRu after structural relaxation.

Cell and atoms, written as POSCAR:
```
La2AgRu
1.0
3.609 0.000 0.000
0.000 5.106 0.000
0.000 0.000 5.106
La Ru Ag
2 1 1
Direct
0.000 0.000 0.500 La
0.000 0.500 0.000 La
0.500 0.500 0.500 Ru
0.500 0.000 0.000 Ag
```

Properties
- energy of formation from the pure elements (kJ/mol of formula units) = -42.4

VASP calculation (GGA-PBEsol) on LaAgS2 after structural relaxation.

Cell and atoms, written as POSCAR:
```
LaAgS2
1.0
-2.269 -3.053 2.135
1.209 -1.208 4.013
-4.653 3.775 4.908
S Ag La
2 1 1
Direct
0.895 0.895 0.314 S
0.105 0.105 0.686 S
0.000 0.000 0.000 Ag
0.500 0.500 0.500 La
```

Properties
- ΔE_f (raw) (kcal/mol of atoms) = -29.8

VASP calculation (GGA-PBEsol) on La3AgS after structural relaxation.

Cell and atoms, written as POSCAR:
```
La3AgS
1.0
5.407 0.000 0.000
0.000 5.407 0.000
0.000 0.000 5.407
La Ag S
3 1 1
Direct
0.000 0.500 0.000 La
0.500 0.000 0.000 La
0.000 0.000 0.500 La
0.500 0.500 0.500 Ag
0.000 0.000 0.000 S
```

Properties
- ΔE_f (raw) (kcal/mol of atoms) = -14.7

VASP calculation (GGA-PBEsol) on La3SiAgS7 after structural relaxation.

Cell and atoms, written as POSCAR:
```
La3SiAgS7
1.0
5.755 0.000 0.000
0.000 10.306 0.000
0.000 -5.153 8.925
S Si La Ag
14 2 6 2
Direct
0.894 0.089 0.824 S
0.894 0.176 0.266 S
0.894 0.734 0.911 S
0.163 0.333 0.667 S
0.154 0.885 0.476 S
0.154 0.524 0.409 S
0.154 0.591 0.115 S
0.663 0.667 0.333 S
0.394 0.911 0.176 S
0.654 0.476 0.591 S
0.394 0.266 0.089 S
0.654 0.409 0.885 S
0.654 0.115 0.524 S
0.394 0.824 0.734 S
0.297 0.667 0.333 Si
0.797 0.333 0.667 Si
0.882 0.877 0.237 La
0.882 0.763 0.641 La
0.382 0.123 0.763 La
0.882 0.359 0.123 La
0.382 0.237 0.359 La
0.382 0.641 0.877 La
0.925 0.000 0.000 Ag
0.425 0.000 0.000 Ag
```

Properties
- ΔE_f (raw) (kcal/mol of atoms) = -38.1

Calculated values (A^3/atom) of V for the records, taken in order: 23.516, 30.176, 31.621, 22.055.